[1]
First-principles (PBE-GGA) data for crystalline RbAl2GaRh at its relaxed geometry, as listed in Alexandria via LeMat-Bulk.

Calculated values
Formation energy from the elements ... 1.76 eV/atom
Symmetry ... P4/mmm (123)

Geometry as extended XYZ:
```
5
Lattice="5.822 0.000 0.000 0.000 5.822 0.000 0.000 0.000 4.913" Properties=species:S:1:pos:R:3 pbc="T T T"
Rb 0.000 0.000 0.000
Al 0.000 2.911 0.000
Al 2.911 0.000 0.000
Ga 2.911 2.911 2.457
Rh 0.000 0.000 2.457
```


[2]
First-principles (PBE-GGA) data for crystalline RbAlGaSe4 at its relaxed geometry, as listed in Alexandria via LeMat-Bulk.

Calculated values
Formation energy without anion corrections ... -0.78 eV/atom
Symmetry ... P2_1/m (11)

Geometry as extended XYZ:
```
14
Lattice="6.426 0.000 0.000 0.000 6.698 0.000 -2.250 0.000 9.960" Properties=species:S:1:pos:R:3 pbc="T T T"
Rb 1.312 1.674 0.631
Rb 2.863 5.023 9.329
Al 0.516 1.674 6.886
Al 3.659 5.023 3.074
Ga 0.461 5.023 3.140
Ga 3.714 1.674 6.820
Se -1.091 3.459 7.075
Se -1.091 6.588 7.075
Se 2.057 5.023 1.277
Se 2.072 1.674 4.970
Se 2.103 5.023 4.990
Se 2.119 1.674 8.683
Se 5.267 0.110 2.885
Se 5.267 3.239 2.885
```